1.
A geometry-optimized AlAsRh2 structure. Source: the Alexandria database, functional PBE-GGA.

Summary:
For the relative energy among the computed polymorphs, the calculation gives 0.043 eV/atom. The magnetic moment is 0.00 μB/cell. The formation energy from the elements is -0.559 eV per atom. The volume is 14.81 Å³ per atom. The value obtained for the density is 8627 kg/m3.

Lattice parameters (Å, degrees): 3.047 3.750 5.184 90.00 90.00 90.00
Positions (direct):
As: 0.500 0.500 0.791
Rh: 0.000 0.000 0.954
Rh: 0.500 0.500 0.297
Al: 0.000 0.000 0.458

***

2.
A geometry-optimized AlAsRh2 structure. Source: the Alexandria database, functional PBE-GGA.

Summary:
For the relative energy among the computed polymorphs, the calculation gives 0.452 eV/atom. The magnetic moment is 0.00 μB/cell. The formation energy from the elements is -0.150 eV per atom. The volume is 15.12 Å³ per atom. The value obtained for the density is 8450 kg/m3.

Lattice parameters (Å, degrees): 4.406 4.406 4.406 60.00 60.00 60.00
Positions (direct):
As: 0.750 0.750 0.750
Rh: 0.000 0.000 0.000
Rh: 0.250 0.250 0.250
Al: 0.500 0.500 0.500

***

3.
A geometry-optimized Al2AsRh structure. Source: the Alexandria database, functional PBE-GGA.

Summary:
The magnetic moment is 0.00 μB/cell. The formation energy from the elements is -0.418 eV per atom. The volume is 16.03 Å³ per atom. The value obtained for the density is 6004 kg/m3.

Lattice parameters (Å, degrees): 2.878 2.878 7.740 90.00 90.00 90.08
Positions (direct):
As: 0.500 0.500 0.250
Rh: 0.500 0.500 0.750
Al: 0.000 0.000 0.957
Al: 0.000 0.000 0.543

***

4.
A geometry-optimized Al2AsRh structure. Source: the Alexandria database, functional PBE-GGA.

Summary:
The magnetic moment is 0.00 μB/cell. The formation energy from the elements is -0.354 eV per atom. The volume is 16.01 Å³ per atom. The value obtained for the density is 6009 kg/m3.

Lattice parameters (Å, degrees): 5.058 5.058 4.760 75.51 75.51 33.01
Positions (direct):
As: 0.535 0.535 0.520
Rh: 0.238 0.238 0.186
Al: 0.972 0.972 0.068
Al: 0.755 0.755 0.726

***

What is the formula in the first record? AlAsRh2